Entry 1:
Material: Rb2PbS
Method: DFT, PBE-GGA
State: relaxed

Cell: 5.9900 5.9900 5.9900 Å, 60.00 60.00 60.00°
Site moments in Bohr magnetons follow the coordinates.
Positions (direct):
Pb 0.5000 0.5000 0.5000  0.64
Rb 0.7500 0.7500 0.7500  0.04
Rb 0.2500 0.2500 0.2500  0.04
S 0.0000 0.0000 0.0000  0.01

Calculated values
The formation energy (no corrections) is -0.0902 eV per atom. Its spin magnetization is 2.00 μB/f.u. The total energy comes out at -2.53 eV/atom. Its energy above the lowest structure with this stoichiometry is 23.3 kJ per mole of atoms.

***

Entry 2:
Material: Dy7Tm4Th
Method: DFT, PBE-GGA
State: relaxed

Cell: 7.1160 6.1511 11.3026 Å, 79.45 50.93 90.00°
Positions (direct):
Dy 0.2474 0.4999 0.9997
Dy 0.0836 0.2762 0.6668
Dy 0.5000 0.0000 0.0000
Dy 0.6682 0.2202 0.3318
Dy 0.9164 0.7238 0.3332
Dy 0.3318 0.7798 0.6682
Dy 0.7526 0.5001 0.0003
Th 0.0000 0.0000 0.0000
Tm 0.8375 0.7782 0.6625
Tm 0.5827 0.2751 0.6675
Tm 0.4173 0.7249 0.3325
Tm 0.1625 0.2218 0.3375

Calculated values
Its spin magnetization is 0.00 μB/f.u. The formation enthalpy at 0 K is 0.0 eV/f.u. The total energy comes out at -4.79 eV/atom.

***

Entry 3:
Material: Li5Sc3Br12
Method: DFT, PBE-GGA
State: relaxed

Cell: 13.7642 13.7642 13.7642 Å, 109.47 109.47 109.47°
Site moments in Bohr magnetons follow the coordinates.
Positions (direct):
Br 0.3207 0.7803 0.4081  -0.01
Br 0.6278 0.5874 0.9081  -0.01
Br 0.6793 0.2197 0.5919  -0.01
Br 0.9596 0.3722 0.2803  -0.01
Br 0.2197 0.5404 0.6278  -0.01
Br 0.0404 0.4126 0.8207  -0.01
Br 0.2803 0.8722 0.9596  -0.01
Br 0.7803 0.3207 0.9081  -0.01
Br 0.6278 0.0404 0.2197  -0.01
Br 0.9596 0.5874 0.1793  -0.01
Br 0.5919 0.7197 0.6793  -0.01
Br 0.8722 0.2803 0.4596  -0.01
Br 0.8207 0.9081 0.2803  -0.01
Br 0.8207 0.9126 0.0404  -0.01
Br 0.3722 0.9596 0.7803  -0.01
Br 0.7197 0.5919 0.1793  -0.01
Br 0.2197 0.6793 0.0919  -0.01
Br 0.0919 0.9126 0.3722  -0.01
Br 0.1793 0.0874 0.9596  -0.01
Br 0.5404 0.3207 0.9126  -0.01
Br 0.1793 0.0919 0.7197  -0.01
Br 0.9126 0.0919 0.8722  -0.01
Br 0.4596 0.6793 0.0874  -0.01
Br 0.3207 0.5404 0.4126  -0.01
Br 0.6793 0.4596 0.5874  -0.01
Br 0.7803 0.4596 0.3722  -0.01
Br 0.4081 0.1278 0.5874  -0.01
Br 0.0874 0.1793 0.4596  -0.01
Br 0.0404 0.6278 0.7197  -0.01
Br 0.9081 0.0874 0.6278  -0.01
Br 0.4081 0.2803 0.3207  -0.01
Br 0.5919 0.8722 0.4126  -0.01
Br 0.1278 0.7197 0.5404  -0.01
Br 0.4596 0.7803 0.8722  -0.01
Br 0.8722 0.5919 0.9126  -0.01
Br 0.0919 0.1793 0.2197  -0.01
Br 0.7197 0.1278 0.0404  -0.01
Br 0.9126 0.8207 0.5404  -0.01
Br 0.2803 0.4081 0.8207  -0.01
Br 0.5874 0.9596 0.6793  -0.01
Br 0.4126 0.3722 0.5919  -0.01
Br 0.4126 0.0404 0.3207  -0.01
Br 0.5404 0.2197 0.1278  -0.01
Br 0.0874 0.9081 0.1278  -0.01
Br 0.1278 0.4081 0.0874  -0.01
Br 0.3722 0.4126 0.0919  -0.01
Br 0.5874 0.6278 0.4081  -0.01
Br 0.9081 0.8207 0.7803  -0.01
Sc 0.2500 0.6250 0.8750  0.54
Sc 0.7500 0.8750 0.6250  0.54
Sc 0.6250 0.3750 0.7500  0.54
Sc 0.1250 0.8750 0.7500  0.54
Sc 0.7500 0.3750 0.1250  0.54
Sc 0.6250 0.2500 0.3750  0.54
Sc 0.3750 0.7500 0.6250  0.54
Sc 0.8750 0.7500 0.1250  0.54
Sc 0.8750 0.1250 0.2500  0.54
Sc 0.1250 0.2500 0.8750  0.54
Sc 0.3750 0.6250 0.2500  0.54
Sc 0.2500 0.1250 0.3750  0.54
Li 0.0000 0.0000 0.5000  0.00
Li 0.6250 0.7500 0.8750  0.00
Li 0.0000 0.5000 0.0000  0.00
Li 0.8750 0.2500 0.6250  0.00
Li 0.0000 0.5000 0.5000  0.00
Li 0.7500 0.6250 0.3750  0.00
Li 0.3750 0.1250 0.7500  0.00
Li 0.1250 0.3750 0.2500  0.00
Li 0.5000 0.5000 0.5000  0.00
Li 0.1250 0.7500 0.3750  0.00
Li 0.6250 0.8750 0.2500  0.00
Li 0.7500 0.1250 0.8750  0.00
Li 0.0000 0.0000 0.0000  0.00
Li 0.2500 0.3750 0.6250  0.00
Li 0.3750 0.2500 0.1250  0.00
Li 0.5000 0.0000 0.5000  0.00
Li 0.5000 0.5000 0.0000  0.00
Li 0.2500 0.8750 0.1250  0.00
Li 0.8750 0.6250 0.7500  0.00
Li 0.5000 0.0000 0.0000  0.00

Calculated values
The formation energy (no corrections) is -1.3873 eV per atom. Its spin magnetization is 2.00 μB/f.u. The total energy comes out at -3.82 eV/atom.

***

Entry 4:
Material: HgS3F
Method: DFT, PBE-GGA
State: relaxed

Cell: 4.4971 4.4971 4.4971 Å, 90.00 90.00 90.00°
Positions (direct):
S 0.0000 0.5000 0.0000
S 0.5000 0.0000 0.0000
S 0.0000 0.0000 0.5000
F 0.0000 0.0000 0.0000
Hg 0.5000 0.5000 0.5000

Calculated values
The formation energy (no corrections) is 0.8444 eV per atom. Its spin magnetization is 0.00 μB/f.u. The total energy comes out at -2.07 eV/atom. Its energy above the lowest structure with this stoichiometry is 0.0 kJ per mole of atoms.

***

Entry 5:
Material: NaTcTeO5
Method: DFT, PBE-GGA
State: relaxed

Cell: 5.8842 5.8842 7.7775 Å, 108.08 108.08 101.05°
Site moments in Bohr magnetons follow the coordinates.
Positions (direct):
O 0.3442 0.2624 0.1397  0.02
O 0.0100 0.9900 0.7500  -0.01
O 0.2624 0.3442 0.6397  0.02
O 0.8348 0.2649 0.0261  0.04
O 0.7376 0.6558 0.3603  0.02
O 0.1652 0.7351 0.9739  0.04
O 0.6558 0.7376 0.8603  0.02
O 0.9900 0.0100 0.2500  -0.01
O 0.7351 0.1652 0.4739  0.04
O 0.2649 0.8348 0.5261  0.04
Tc 0.0000 0.0000 0.5000  0.88
Tc 0.0000 0.0000 0.0000  0.88
Na 0.6736 0.3264 0.7500  0.00
Na 0.3264 0.6736 0.2500  0.00
Te 0.7004 0.2996 0.2500  0.02
Te 0.2996 0.7004 0.7500  0.02

Calculated values
The formation energy (no corrections) is -1.2466 eV per atom. Its spin magnetization is 1.12 μB/f.u. The total energy comes out at -6.20 eV/atom.

***

Entry 6:
Material: K3Na12Au5
Method: DFT, PBE-GGA
State: relaxed

Cell: 16.5787 16.5787 16.5787 Å, 109.47 109.47 109.47°
Positions (direct):
Na 0.5577 0.9853 0.1769
Na 0.4276 0.4423 0.6191
Na 0.9276 0.8084 0.4853
Na 0.9853 0.5577 0.6769
Na 0.9423 0.6191 0.9276
Na 0.5147 0.6916 0.0724
Na 0.0577 0.3809 0.0724
Na 0.8084 0.8809 0.3231
Na 0.3231 0.9423 0.0147
Na 0.6191 0.6769 0.6916
Na 0.8809 0.8084 0.8231
Na 0.6916 0.1769 0.6191
Na 0.1191 0.9276 0.4423
Na 0.1191 0.1916 0.1769
Na 0.4853 0.1769 0.0577
Na 0.8231 0.5147 0.4423
Na 0.3084 0.4853 0.4276
Na 0.5147 0.8231 0.9423
Na 0.3809 0.3231 0.3084
Na 0.3231 0.3809 0.8084
Na 0.6916 0.5147 0.5724
Na 0.5577 0.5724 0.8809
Na 0.3809 0.0577 0.5724
Na 0.0724 0.1916 0.5147
Na 0.6769 0.6191 0.1916
Na 0.9276 0.1191 0.9423
Na 0.6191 0.9423 0.4276
Na 0.6769 0.0577 0.9853
Na 0.0577 0.6769 0.4853
Na 0.1916 0.0724 0.0147
Na 0.1916 0.1191 0.6769
Na 0.8084 0.9276 0.9853
Na 0.4853 0.3084 0.9276
Na 0.9423 0.3231 0.5147
Na 0.3084 0.8231 0.3809
Na 0.0147 0.4423 0.3231
Na 0.5724 0.0147 0.6916
Na 0.1769 0.4853 0.5577
Na 0.9853 0.4276 0.8084
Na 0.4423 0.0147 0.8231
Na 0.8231 0.3084 0.8809
Na 0.8809 0.0724 0.5577
Na 0.0147 0.5724 0.1916
Na 0.0724 0.8809 0.0577
Na 0.4423 0.4276 0.1191
Na 0.1769 0.6916 0.1191
Na 0.4276 0.9853 0.3084
Na 0.5724 0.5577 0.3809
Au 0.0000 0.5000 0.5000
Au 0.5000 0.0000 0.0000
Au 0.1250 0.7500 0.3750
Au 0.0000 0.0000 0.0000
Au 0.2500 0.3750 0.6250
Au 0.7500 0.6250 0.3750
Au 0.2500 0.8750 0.1250
Au 0.8750 0.6250 0.7500
Au 0.5000 0.5000 0.0000
Au 0.0000 0.5000 0.0000
Au 0.3750 0.1250 0.7500
Au 0.8750 0.2500 0.6250
Au 0.7500 0.1250 0.8750
Au 0.0000 0.0000 0.5000
Au 0.1250 0.3750 0.2500
Au 0.6250 0.7500 0.8750
Au 0.6250 0.8750 0.2500
Au 0.5000 0.0000 0.5000
Au 0.5000 0.5000 0.5000
Au 0.3750 0.2500 0.1250
K 0.3750 0.7500 0.6250
K 0.8750 0.1250 0.2500
K 0.2500 0.6250 0.8750
K 0.7500 0.3750 0.1250
K 0.1250 0.2500 0.8750
K 0.8750 0.7500 0.1250
K 0.1250 0.8750 0.7500
K 0.7500 0.8750 0.6250
K 0.3750 0.6250 0.2500
K 0.2500 0.1250 0.3750
K 0.6250 0.2500 0.3750
K 0.6250 0.3750 0.7500

Calculated values
Its spin magnetization is 0.00 μB/f.u. The formation enthalpy at 0 K is 0.0 eV/f.u. The total energy comes out at -1.78 eV/atom.

***

Entry 7:
Material: MgBeB3
Method: DFT, PBE-GGA
State: relaxed

Cell: 4.2395 4.2395 4.2395 Å, 90.00 90.00 90.00°
Positions (direct):
Mg 0.0000 0.0000 0.0000
B 0.5000 0.0000 0.0000
B 0.0000 0.5000 0.0000
B 0.0000 0.0000 0.5000
Be 0.5000 0.5000 0.5000

Calculated values
Its spin magnetization is 0.00 μB/f.u. The formation enthalpy at 0 K is 13.0 eV/f.u. The total energy comes out at -2.48 eV/atom. Its energy above the lowest structure with this stoichiometry is 239.1 kJ per mole of atoms.

***

Entry 8:
Material: TbY2Th3P6
Method: DFT, PBE-GGA
State: relaxed

Cell: 7.0885 7.0885 7.0346 Å, 99.68 99.68 119.92°
Positions (direct):
P 0.2524 0.2524 0.7561
P 0.9188 0.5851 0.7561
P 0.0812 0.4149 0.2439
P 0.5851 0.9188 0.7561
P 0.7476 0.7476 0.2439
P 0.4149 0.0812 0.2439
Y 0.6667 0.3333 0.0000
Y 0.3333 0.6667 0.0000
Th 0.5000 0.5000 0.5000
Th 0.1666 0.8334 0.5000
Th 0.8334 0.1666 0.5000
Tb 0.0000 0.0000 0.0000

Calculated values
Its spin magnetization is 0.00 μB/f.u. The formation enthalpy at 0 K is -19.1 eV/f.u. The total energy comes out at -7.62 eV/atom.

***

Entry 9:
Material: NaCuPCl2
Method: DFT, PBE-GGA
State: relaxed

Cell: 4.9059 4.9059 5.3012 Å, 90.00 90.00 90.00°
Positions (direct):
Cl 0.0000 0.5000 0.0000
Cl 0.5000 0.0000 0.0000
P 0.0000 0.0000 0.5000
Na 0.0000 0.0000 0.0000
Cu 0.5000 0.5000 0.5000

Calculated values
The formation energy (no corrections) is 0.6056 eV per atom. Its spin magnetization is 0.00 μB/f.u. The total energy comes out at -2.30 eV/atom. Its energy above the lowest structure with this stoichiometry is 85.5 kJ per mole of atoms.

***

Entry 10:
Material: Pr8P3PdI4
Method: DFT, PBE-GGA
State: relaxed

Cell: 8.5626 9.1744 8.5629 Å, 117.82 120.00 90.00°
Positions (direct):
Pr 0.7659 0.3047 0.0388
Pr 0.2729 0.3047 0.0388
Pr 0.7271 0.6953 0.9612
Pr 0.7305 0.6914 0.4610
Pr 0.7659 0.3047 0.5318
Pr 0.2341 0.6953 0.4682
Pr 0.2695 0.3086 0.5390
Pr 0.2341 0.6953 0.9612
I 0.0000 0.0000 0.5000
I 0.5000 0.0000 0.5000
I 0.0000 0.0000 0.0000
I 0.5000 0.0000 0.0000
P 0.5000 0.5000 0.5000
P 0.0000 0.5000 0.5000
P 0.5000 0.5000 0.0000
Pd 0.0000 0.5000 0.0000

Calculated values
The formation energy (no corrections) is -1.2066 eV per atom. Its spin magnetization is 0.00 μB/f.u. The total energy comes out at -5.32 eV/atom.

***

Entry 11:
Material: LiNdCdCu
Method: DFT, PBE-GGA
State: relaxed

Cell: 4.8604 4.8604 4.8604 Å, 60.00 60.00 60.00°
Positions (direct):
Cu 0.0000 0.0000 0.0000
Li 0.5000 0.5000 0.5000
Nd 0.2500 0.2500 0.2500
Cd 0.7500 0.7500 0.7500

Calculated values
Its spin magnetization is 0.00 μB/f.u. The formation enthalpy at 0 K is -0.7 eV/f.u. The total energy comes out at -3.09 eV/atom.

***

Entry 12:
Material: Ce4HIr2
Method: DFT, PBE-GGA
State: relaxed

Cell: 4.5085 4.5085 8.1588 Å, 106.04 106.04 90.00°
Site moments in Bohr magnetons follow the coordinates.
Positions (direct):
Ir 0.6426 0.6426 0.2852  -0.04
Ir 0.3574 0.3574 0.7148  -0.04
H 0.0000 0.0000 0.0000  -0.01
Ce 0.8113 0.8113 0.6226  0.47
Ce 0.5000 0.0000 0.0000  0.62
Ce 0.0000 0.5000 0.0000  0.62
Ce 0.1887 0.1887 0.3774  0.47

Calculated values
Its spin magnetization is 2.53 μB/f.u. The total energy comes out at -6.86 eV/atom. Its energy above the lowest structure with this stoichiometry is 3.7 kJ per mole of atoms.

***

Entry 13:
Material: Cd2AsPd6
Method: DFT, PBE-GGA
State: relaxed

Cell: 2.8852 7.7329 7.7329 Å, 120.00 90.00 90.00°
Positions (direct):
Pd 0.2144 0.0000 0.3254
Pd 0.7856 0.6746 0.0000
Pd 0.2144 0.6746 0.6746
Pd 0.7856 0.3254 0.3254
Pd 0.2144 0.3254 0.0000
Pd 0.7856 0.0000 0.6746
As 0.0000 0.0000 0.0000
Cd 0.5000 0.6667 0.3333
Cd 0.5000 0.3333 0.6667

Calculated values
Its spin magnetization is 0.00 μB/f.u. The formation enthalpy at 0 K is -2.2 eV/f.u. The total energy comes out at -4.43 eV/atom.

***

Entry 14:
Material: ZrTiRe2
Method: DFT, PBE-GGA
State: relaxed

Cell: 3.2190 4.5451 4.5451 Å, 90.00 90.00 90.00°
Positions (direct):
Re 0.0000 0.5000 0.0000
Re 0.0000 0.0000 0.5000
Zr 0.5000 0.0000 0.0000
Ti 0.5000 0.5000 0.5000

Calculated values
Its spin magnetization is 0.00 μB/f.u. The formation enthalpy at 0 K is -0.9 eV/f.u. The total energy comes out at -10.57 eV/atom.

***

Entry 15:
Material: Ho4GaRh3
Method: DFT, PBE-GGA
State: relaxed

Cell: 4.8213 7.0816 9.6418 Å, 90.00 90.00 90.00°
Positions (direct):
Ho 0.5000 0.7587 0.0000
Ho 0.0001 0.2413 0.2500
Ho 0.5000 0.2413 0.5000
Ho 0.9999 0.2413 0.7500
Ho 0.5000 0.2413 0.0000
Ho 0.0001 0.7587 0.2500
Ho 0.5000 0.7587 0.5000
Ho 0.9999 0.7587 0.7500
Rh 0.4997 0.0000 0.7500
Rh 0.5003 0.0000 0.2500
Rh 0.5003 0.5000 0.2500
Rh 0.0000 0.0000 0.5000
Rh 0.4997 0.5000 0.7500
Rh 0.0000 0.0000 0.0000
Ga 0.0000 0.5000 0.5000
Ga 0.0000 0.5000 0.0000

Calculated values
Its spin magnetization is 0.00 μB/f.u. The formation enthalpy at 0 K is -6.3 eV/f.u. The total energy comes out at -6.22 eV/atom.

***

Entry 16:
Material: YHg
Method: DFT, PBE-GGA
State: relaxed

Cell: 5.1722 5.1722 6.1104 Å, 90.00 90.00 120.00°
Positions (direct):
Hg 0.3333 0.6667 0.7500
Hg 0.6667 0.3333 0.2500
Y 0.6667 0.3333 0.7500
Y 0.3333 0.6667 0.2500

Calculated values
Its spin magnetization is 0.00 μB/f.u. The formation enthalpy at 0 K is 0.2 eV/f.u. The total energy comes out at -3.30 eV/atom.

***

Entry 17:
Material: GaSN3
Method: DFT, PBE-GGA
State: relaxed

Cell: 3.5286 3.5286 3.5286 Å, 90.00 90.00 90.00°
Positions (direct):
S 0.0000 0.0000 0.0000
N 0.0000 0.0000 0.5000
N 0.0000 0.5000 0.0000
N 0.5000 0.0000 0.0000
Ga 0.5000 0.5000 0.5000

Calculated values
The formation energy (no corrections) is 1.6805 eV per atom. Its spin magnetization is 0.00 μB/f.u. The total energy comes out at -4.75 eV/atom.